No. 1
# AgPd2Pb2, optimized geometry, DFT GGA-PBE
# mass density: 10.647 g/cm3
# calculated total energy: -20.58 eV for the cell shown
# space group: I4/mmm
# energy relative to the elements: 0.02 eV/atom
data_AgPd2Pb2
_chemical_formula_sum 'Ag1 Pd2 Pb2'
_symmetry_space_group_name_H-M 'P 1'
_symmetry_Int_Tables_number 1
_cell_length_a 8.021
_cell_length_b 8.021
_cell_length_c 8.021
_cell_angle_alpha 151.85
_cell_angle_beta 151.85
_cell_angle_gamma 40.23
loop_
_symmetry_equiv_pos_as_xyz
'x,y,z'
loop_
_atom_site_label
_atom_site_type_symbol
_atom_site_fract_x
_atom_site_fract_y
_atom_site_fract_z
Ag1 Ag 0.000 0.000 0.000
Pd1 Pd 0.250 0.750 0.500
Pd2 Pd 0.750 0.250 0.500
Pb1 Pb 0.387 0.387 0.000
Pb2 Pb 0.613 0.613 0.000


No. 2
# Th2TiTl, optimized geometry, DFT GGA-PBE
# mass density: 10.663 g/cm3
# calculated total energy: -23.58 eV for the cell shown
# space group: R-3m
# energy relative to the elements: 0.38 eV/atom
data_Th2TiTl
_chemical_formula_sum 'Th2 Ti1 Tl1'
_symmetry_space_group_name_H-M 'P 1'
_symmetry_Int_Tables_number 1
_cell_length_a 11.820
_cell_length_b 11.820
_cell_length_c 11.820
_cell_angle_alpha 16.16
_cell_angle_beta 16.16
_cell_angle_gamma 16.16
loop_
_symmetry_equiv_pos_as_xyz
'x,y,z'
loop_
_atom_site_label
_atom_site_type_symbol
_atom_site_fract_x
_atom_site_fract_y
_atom_site_fract_z
Th1 Th 0.084 0.084 0.084
Th2 Th 0.916 0.916 0.916
Ti1 Ti 0.000 0.000 0.000
Tl1 Tl 0.500 0.500 0.500


No. 3
# CdCu2Pt, optimized geometry, DFT GGA-PBE
# mass density: 12.038 g/cm3
# calculated total energy: -31.35 eV for the cell shown
# space group: C2/m
# energy relative to the elements: -0.13 eV/atom
data_CdCu2Pt
_chemical_formula_sum 'Cd2 Cu4 Pt2'
_symmetry_space_group_name_H-M 'P 1'
_symmetry_Int_Tables_number 1
_cell_length_a 5.455
_cell_length_b 5.455
_cell_length_c 4.492
_cell_angle_alpha 90.12
_cell_angle_beta 90.12
_cell_angle_gamma 63.76
loop_
_symmetry_equiv_pos_as_xyz
'x,y,z'
loop_
_atom_site_label
_atom_site_type_symbol
_atom_site_fract_x
_atom_site_fract_y
_atom_site_fract_z
Cd1 Cd 0.150 0.150 0.249
Cd2 Cd 0.850 0.850 0.751
Cu1 Cu 0.187 0.640 0.250
Cu2 Cu 0.360 0.813 0.750
Cu3 Cu 0.640 0.187 0.250
Cu4 Cu 0.813 0.360 0.750
Pt1 Pt 0.336 0.336 0.750
Pt2 Pt 0.664 0.664 0.250


No. 4
# Tb3PmPb4, optimized geometry, DFT GGA-PBE
# mass density: 10.280 g/cm3
# calculated total energy: -74.34 eV for the cell shown
# space group: Pmn2_1
# energy relative to the elements: -0.46 eV/atom
data_Tb3PmPb4
_chemical_formula_sum 'Tb6 Pm2 Pb8'
_symmetry_space_group_name_H-M 'P 1'
_symmetry_Int_Tables_number 1
_cell_length_a 11.221
_cell_length_b 6.462
_cell_length_c 6.462
_cell_angle_alpha 90.00
_cell_angle_beta 90.00
_cell_angle_gamma 90.00
loop_
_symmetry_equiv_pos_as_xyz
'x,y,z'
loop_
_atom_site_label
_atom_site_type_symbol
_atom_site_fract_x
_atom_site_fract_y
_atom_site_fract_z
Tb1 Tb 0.000 0.000 0.000
Tb2 Tb 0.250 0.250 0.250
Tb3 Tb 0.250 0.750 0.750
Tb4 Tb 0.500 0.000 0.500
Tb5 Tb 0.750 0.250 0.250
Tb6 Tb 0.750 0.750 0.750
Pm1 Pm 0.000 0.500 0.500
Pm2 Pm 0.500 0.500 0.000
Pb1 Pb 0.000 0.000 0.500
Pb2 Pb 0.000 0.500 0.000
Pb3 Pb 0.250 0.250 0.750
Pb4 Pb 0.250 0.750 0.250
Pb5 Pb 0.500 0.000 0.000
Pb6 Pb 0.500 0.500 0.500
Pb7 Pb 0.750 0.250 0.750
Pb8 Pb 0.750 0.750 0.250


No. 5
# LaSn2P, optimized geometry, DFT GGA-PBE
# mass density: 6.172 g/cm3
# calculated total energy: -39.61 eV for the cell shown
# space group: I-42d
# energy relative to the elements: -0.37 eV/atom
data_LaSn2P
_chemical_formula_sum 'La2 Sn4 P2'
_symmetry_space_group_name_H-M 'P 1'
_symmetry_Int_Tables_number 1
_cell_length_a 6.762
_cell_length_b 6.762
_cell_length_c 6.762
_cell_angle_alpha 101.11
_cell_angle_beta 101.11
_cell_angle_gamma 127.92
loop_
_symmetry_equiv_pos_as_xyz
'x,y,z'
loop_
_atom_site_label
_atom_site_type_symbol
_atom_site_fract_x
_atom_site_fract_y
_atom_site_fract_z
La1 La 0.000 0.000 0.000
La2 La 0.750 0.250 0.500
Sn1 Sn 0.184 0.125 0.559
Sn2 Sn 0.375 0.816 0.941
Sn3 Sn 0.566 0.625 0.441
Sn4 Sn 0.875 0.434 0.059
P1 P 0.250 0.750 0.500
P2 P 0.500 0.500 0.000


No. 6
# Li5HoTl6, optimized geometry, DFT GGA-PBE
# mass density: 8.869 g/cm3
# calculated total energy: -31.26 eV for the cell shown
# space group: Cmmm
# energy relative to the elements: -0.24 eV/atom
data_Li5HoTl6
_chemical_formula_sum 'Li5 Ho1 Tl6'
_symmetry_space_group_name_H-M 'P 1'
_symmetry_Int_Tables_number 1
_cell_length_a 7.806
_cell_length_b 7.806
_cell_length_c 7.364
_cell_angle_alpha 90.00
_cell_angle_beta 90.00
_cell_angle_gamma 143.49
loop_
_symmetry_equiv_pos_as_xyz
'x,y,z'
loop_
_atom_site_label
_atom_site_type_symbol
_atom_site_fract_x
_atom_site_fract_y
_atom_site_fract_z
Li1 Li 0.000 0.000 0.000
Li2 Li 0.328 0.672 0.000
Li3 Li 0.332 0.668 0.500
Li4 Li 0.668 0.332 0.500
Li5 Li 0.672 0.328 0.000
Ho1 Ho 0.000 0.000 0.500
Tl1 Tl 0.171 0.829 0.245
Tl2 Tl 0.171 0.829 0.755
Tl3 Tl 0.500 0.500 0.224
Tl4 Tl 0.500 0.500 0.776
Tl5 Tl 0.829 0.171 0.245
Tl6 Tl 0.829 0.171 0.755